# 1
A plane-wave DFT calculation with PBE was carried out for a relaxed ThZnAu4 crystal.

Properties
Polymorph energy (0 for the lowest one) = 0 meV per atom
Symmetry = No. 11

a = 4.412 Å, b = 7.230 Å, c = 8.506 Å
α = 90.00°, β = 112.59°, γ = 90.00°
Fractional coordinates of all 12 atoms:
Th1 0.267 0.750 0.352
Th2 0.733 0.250 0.648
Zn1 0.811 0.750 0.752
Zn2 0.189 0.250 0.248
Au1 0.256 0.549 0.672
Au2 0.744 0.049 0.328
Au3 0.256 0.951 0.672
Au4 0.744 0.451 0.328
Au5 0.000 0.500 0.000
Au6 0.000 0.000 0.000
Au7 0.547 0.750 0.063
Au8 0.453 0.250 0.937


# 2
A plane-wave DFT calculation with PBE was carried out for a relaxed Ho5TmSc2 crystal.

Properties
Polymorph energy (0 for the lowest one) = 81 meV per atom
Symmetry = No. 140

a = 8.726 Å, b = 8.726 Å, c = 8.736 Å
α = 119.96°, β = 119.96°, γ = 90.00°
Fractional coordinates of all 16 atoms:
Ho1 0.493 0.690 0.683
Ho2 0.810 0.007 0.317
Ho3 0.000 0.000 0.000
Ho4 0.500 0.500 0.000
Ho5 0.190 0.993 0.683
Ho6 0.690 0.190 0.683
Ho7 0.993 0.493 0.683
Ho8 0.310 0.810 0.317
Ho9 0.007 0.507 0.317
Ho10 0.507 0.310 0.317
Tm1 0.750 0.750 0.500
Tm2 0.250 0.250 0.500
Sc1 0.142 0.358 0.000
Sc2 0.642 0.142 0.000
Sc3 0.358 0.858 0.000
Sc4 0.858 0.642 0.000


E_form (eV/atom)
-0.3930, 0.1003